Entry 1:
Density functional theory data (GGA-PBE) for a relaxed structure of TaBe9Nb2.

```
TaBe9Nb2
1.0
2.278 1.315 6.992
-2.278 1.315 6.992
0.000 -2.631 6.992
Be Nb Ta
9 2 1
Direct
0.584 0.076 0.584 Be
0.416 0.924 0.416 Be
0.584 0.584 0.076 Be
0.666 0.666 0.666 Be
0.076 0.584 0.584 Be
0.334 0.334 0.334 Be
0.924 0.416 0.416 Be
0.500 0.500 0.500 Be
0.416 0.416 0.924 Be
0.860 0.860 0.860 Nb
0.140 0.140 0.140 Nb
0.000 0.000 0.000 Ta
```

Summary:
- VASP energy (eV/atom) = -5.71
- space group = No. 166

Entry 2:
Density functional theory data (GGA-PBE) for a relaxed structure of TaBeNb.

```
TaBeNb
1.0
-1.078 0.815 3.862
-1.819 3.550 0.910
-3.954 0.063 1.050
Be Ta Nb
1 1 1
Direct
0.000 0.000 0.000 Be
0.750 0.750 0.750 Ta
0.250 0.250 0.250 Nb
```

Summary:
- offset from the most stable computed form (kJ per mole of atoms) = 0.0
- space group = No. 216

Entry 3:
Density functional theory data (GGA-PBE) for a relaxed structure of Ta2Be9Nb.

```
Ta2Be9Nb
1.0
2.279 1.316 6.987
-2.279 1.316 6.987
0.000 -2.632 6.987
Be Nb Ta
9 1 2
Direct
0.334 0.334 0.334 Be
0.585 0.585 0.075 Be
0.925 0.415 0.415 Be
0.415 0.415 0.925 Be
0.415 0.925 0.415 Be
0.666 0.666 0.666 Be
0.500 0.500 0.500 Be
0.075 0.585 0.585 Be
0.585 0.075 0.585 Be
0.000 0.000 0.000 Nb
0.140 0.140 0.140 Ta
0.860 0.860 0.860 Ta
```

Summary:
- VASP energy (eV/atom) = -5.88
- space group = No. 166

Entry 4:
Density functional theory data (GGA-PBE) for a relaxed structure of TaBeNbTe.

```
TaBeNbTe
1.0
3.787 -0.633 -2.508
2.322 -3.942 0.308
-0.036 -2.963 -3.500
Be Te Nb Ta
1 1 1 1
Direct
0.750 0.750 0.750 Be
0.250 0.250 0.250 Te
0.500 0.500 0.500 Nb
0.000 0.000 0.000 Ta
```

Summary:
- offset from the most stable computed form (kJ per mole of atoms) = 0.0
- space group = No. 216

Entry 5:
Density functional theory data (GGA-PBE) for a relaxed structure of TaBeNbTe.

```
TaBeNbTe
1.0
0.336 2.430 3.897
-3.350 2.930 1.182
-2.754 -0.967 3.562
Ta Be Te Nb
1 1 1 1
Direct
0.000 0.000 0.000 Ta
0.750 0.750 0.750 Be
0.500 0.500 0.500 Te
0.250 0.250 0.250 Nb
```

Summary:
- offset from the most stable computed form (kJ per mole of atoms) = 12.2
- space group = No. 216

Entry 6:
Density functional theory data (GGA-PBE) for a relaxed structure of TaBeNbW.

```
TaBeNbW
1.0
-0.158 -0.817 4.400
1.259 3.162 2.911
-3.063 2.044 2.548
Ta Be Nb W
1 1 1 1
Direct
0.500 0.500 0.500 Ta
0.750 0.750 0.750 Be
0.000 0.000 0.000 Nb
0.250 0.250 0.250 W
```

Summary:
- offset from the most stable computed form (kJ per mole of atoms) = 0.0
- space group = No. 216

Entry 7:
Density functional theory data (GGA-PBE) for a relaxed structure of TbBeNb.

```
TbBeNb
1.0
0.000 3.118 3.118
3.118 0.000 3.118
3.118 3.118 0.000
Nb Tb Be
1 1 1
Direct
0.250 0.250 0.250 Nb
0.750 0.750 0.750 Tb
0.000 0.000 0.000 Be
```

Summary:
- offset from the most stable computed form (kJ per mole of atoms) = 0.0
- space group = No. 216

Entry 8:
Density functional theory data (GGA-PBE) for a relaxed structure of BeNbTc2.

```
BeNbTc2
1.0
0.000 3.057 3.057
3.057 0.000 3.057
3.057 3.057 0.000
Nb Be Tc
1 1 2
Direct
0.250 0.250 0.250 Nb
0.500 0.500 0.500 Be
0.750 0.750 0.750 Tc
0.000 0.000 0.000 Tc
```

Summary:
- VASP energy (eV/atom) = -8.55
- space group = No. 216